Ta11Ni2 after structural relaxation, computed with PBE.

Symmetry   R-3m
Formation energy from the elements   0.30 eV/atom
Calculated volume   18.2 Å³/atom

abc: 9.5348 9.5348 9.5348
angles: 33.58 33.58 33.58
Fractional positions:
1 Ta 0.0000 0.0000 0.0000
2 Ta 0.0862 0.0862 0.5802
3 Ta 0.0862 0.5802 0.0862
4 Ta 0.3506 0.3506 0.3506
5 Ta 0.4198 0.9138 0.9138
6 Ta 0.4506 0.4506 0.4506
7 Ta 0.5494 0.5494 0.5494
8 Ta 0.5802 0.0862 0.0862
9 Ta 0.6494 0.6494 0.6494
10 Ta 0.9138 0.4198 0.9138
11 Ta 0.9138 0.9138 0.4198
12 Ni 0.1681 0.1681 0.1681
13 Ni 0.8319 0.8319 0.8319